(1)
Compound: NaTcPCl2
Source: Alexandria via LeMat-Bulk
Functional: PBE
Structure: optimized geometry

```
NaTcPCl2
1.0
-3.5932 3.0486 -1.9186
-2.5692 -4.0685 -1.6530
-2.2490 -0.1769 3.9309
Cl P Tc Na
2 1 1 1
direct
0.5000 0.0000 0.0000
0.0000 0.5000 0.0000
0.0000 0.0000 0.5000
0.0000 0.0000 0.0000
0.5000 0.5000 0.5000
```

crystal system	tetragonal
uncorrected formation energy	-0.349	eV/atom
polymorph energy (0 for the lowest one)	0.000	eV per atom

(2)
Compound: NdMgAg2
Source: Alexandria via LeMat-Bulk
Functional: PBE
Structure: optimized geometry

```
NdMgAg2
1.0
-1.6627 -2.7662 1.3429
1.7173 0.4310 3.0142
-5.3576 4.3968 2.4237
Mg Ag Nd
1 2 1
direct
0.5000 0.5000 0.0000
0.0000 0.0000 0.2108
0.0000 0.0000 0.7892
0.5000 0.5000 0.5000
```

DFT formation energy	-227	meV per atom
crystal system	tetragonal

(3)
Compound: Na2TcI6
Source: Alexandria via LeMat-Bulk
Functional: PBE
Structure: optimized geometry

```
Na2TcI6
1.0
7.9341 0.0000 0.0000
0.0000 7.4963 -0.8965
0.0000 1.0535 11.0430
I Tc Na
12 2 4
direct
0.5229 0.3743 0.7646
0.8138 0.2938 0.4399
0.1862 0.7062 0.5601
0.2061 0.6742 0.9450
0.7061 0.8258 0.5550
0.9771 0.8743 0.2646
0.4771 0.6257 0.2354
0.3138 0.2062 0.0601
0.2939 0.1742 0.4450
0.0229 0.1257 0.7354
0.7939 0.3258 0.0550
0.6862 0.7938 0.9399
0.0000 0.0000 0.5000
0.5000 0.5000 0.0000
0.5997 0.0378 0.2343
0.9003 0.5378 0.7343
0.0997 0.4622 0.2657
0.4003 0.9622 0.7657
```

crystal system	monoclinic
uncorrected formation energy	-0.578	eV/atom

(4)
Compound: Hf2ScCuC
Source: Alexandria via LeMat-Bulk
Functional: PBE
Structure: optimized geometry

```
Hf2ScCuC
1.0
4.7645 0.0000 0.0000
0.0000 4.7362 0.0000
0.0000 0.0000 4.7645
Sc Hf Cu C
1 2 1 1
direct
0.0000 0.5000 0.0000
0.0000 0.0000 0.5000
0.5000 0.0000 0.0000
0.0000 0.0000 0.0000
0.5000 0.5000 0.5000
```

DFT formation energy	1460	meV per atom
crystal system	tetragonal

(5)
Compound: CaHfV2Ni
Source: Alexandria via LeMat-Bulk
Functional: PBE
Structure: optimized geometry

```
CaHfV2Ni
1.0
-3.3315 -0.9024 -3.4088
-2.9114 -1.7282 3.3029
-1.8756 4.4246 0.6618
Ca Hf V Ni
1 1 2 1
direct
0.5000 0.5000 0.5000
0.0000 0.0000 0.0000
0.0000 0.0000 0.5000
0.5000 0.0000 0.0000
0.0000 0.5000 0.0000
```

DFT formation energy	1080	meV per atom
crystal system	tetragonal

(6)
Compound: NdHoSn2
Source: Alexandria via LeMat-Bulk
Functional: PBE
Structure: optimized geometry

```
NdHoSn2
1.0
3.5018 0.0000 0.0000
0.0000 3.5018 0.0000
0.0000 0.0000 8.9393
Nd Sn Ho
1 2 1
direct
0.5000 0.5000 0.5000
0.0000 0.0000 0.2411
0.0000 0.0000 0.7589
0.5000 0.5000 0.0000
```

DFT formation energy	-643	meV per atom
crystal system	tetragonal

(7)
Compound: TiZnAg2
Source: Alexandria via LeMat-Bulk
Functional: PBE
Structure: optimized geometry

```
TiZnAg2
1.0
-3.9535 -6.2084 0.3338
5.7436 -3.7984 -2.6208
1.7857 -5.4322 1.4299
Ti Ag Zn
2 4 2
direct
0.2500 0.7500 0.5000
0.5000 0.5000 0.0000
0.3750 0.3550 0.7500
0.6450 0.1250 0.2500
0.8750 0.8950 0.7500
0.1050 0.6250 0.2500
0.0000 0.0000 0.0000
0.7500 0.2500 0.5000
```

DFT formation energy	370	meV per atom
crystal system	tetragonal

(8)
Compound: CdP3
Source: Alexandria via LeMat-Bulk
Functional: PBE
Structure: optimized geometry

```
CdP3
1.0
6.5537 -1.7595 0.0124
6.5537 1.7595 0.0124
6.0757 0.0000 3.0222
P Cd
3 1
direct
0.5000 0.5000 0.5000
0.2342 0.2342 0.2342
0.7658 0.7658 0.7658
0.0000 0.0000 0.0000
```

DFT formation energy	181	meV per atom
crystal system	trigonal
polymorph energy (0 for the lowest one)	0.214	eV per atom

(9)
Compound: NaHg4Pd3
Source: Alexandria via LeMat-Bulk
Functional: PBE
Structure: optimized geometry

```
NaHg4Pd3
1.0
-0.8234 -4.8054 0.8355
6.1718 -0.8856 0.9892
-1.2498 1.8594 9.4627
Hg Pd Na
8 6 2
direct
0.5000 0.2426 0.0000
0.5000 0.2426 0.5000
0.9088 0.7559 0.2500
0.0912 0.7559 0.7500
0.5000 0.7574 0.5000
0.9088 0.2441 0.2500
0.5000 0.7574 0.0000
0.0912 0.2441 0.7500
0.3823 0.0000 0.2500
0.6177 0.0000 0.7500
0.5775 0.5000 0.7500
0.4225 0.5000 0.2500
0.0000 0.0000 0.5000
0.0000 0.0000 0.0000
0.0000 0.5000 0.0000
0.0000 0.5000 0.5000
```

DFT formation energy	-156	meV per atom
crystal system	orthorhombic

(10)
Compound: Ga2IrPtSe
Source: Alexandria via LeMat-Bulk
Functional: PBE
Structure: optimized geometry

```
Ga2IrPtSe
1.0
-2.8109 -3.2835 -1.9819
-0.7638 -1.9288 4.2787
-3.8318 2.9031 0.6247
Se Pt Ga Ir
1 1 2 1
direct
0.0000 0.0000 0.5000
0.5000 0.5000 0.5000
0.5000 0.0000 0.0000
0.0000 0.5000 0.0000
0.0000 0.0000 0.0000
```

crystal system	tetragonal
uncorrected formation energy	0.419	eV/atom

(11)
Compound: Ca2ScTiTl
Source: Alexandria via LeMat-Bulk
Functional: PBE
Structure: optimized geometry

```
Ca2ScTiTl
1.0
5.6530 0.0000 0.0000
0.0000 5.3974 0.0000
0.0000 0.0000 5.6530
Ca Ti Sc Tl
2 1 1 1
direct
0.0000 0.0000 0.5000
0.5000 0.0000 0.0000
0.5000 0.5000 0.5000
0.0000 0.0000 0.0000
0.0000 0.5000 0.0000
```

DFT formation energy	1117	meV per atom
crystal system	tetragonal

(12)
Compound: Hf5ScIn5
Source: Alexandria via LeMat-Bulk
Functional: PBE
Structure: optimized geometry

```
Hf5ScIn5
1.0
5.3689 0.0000 0.0000
-2.6845 7.8498 1.6696
0.0000 -1.2755 5.8984
Hf In Sc
5 5 1
direct
0.6768 0.3535 0.9969
0.4009 0.8018 0.5036
0.0000 0.0000 0.5000
0.3232 0.6465 0.0031
0.5991 0.1982 0.4964
0.1669 0.3339 0.2592
0.5000 0.0000 0.0000
0.8331 0.6661 0.7408
0.1678 0.3357 0.7382
0.8322 0.6643 0.2618
0.0000 0.0000 0.0000
```

DFT formation energy	157	meV per atom
crystal system	monoclinic

(13)
Compound: Tm4AlRu3
Source: Alexandria via LeMat-Bulk
Functional: PBE
Structure: optimized geometry

```
Tm4AlRu3
1.0
-4.5938 1.3079 -0.2808
-1.7047 -6.4053 -1.9446
-1.2564 -2.4464 9.1596
Tm Ru Al
8 6 2
direct
0.5000 0.2380 0.5000
0.5000 0.7620 0.5000
0.0001 0.7620 0.7500
0.9999 0.2380 0.2500
0.5000 0.7620 0.0000
0.0001 0.2380 0.7500
0.5000 0.2380 0.0000
0.9999 0.7620 0.2500
0.4998 0.5000 0.2500
0.0000 0.0000 0.0000
0.4998 0.0000 0.2500
0.5002 0.0000 0.7500
0.5002 0.5000 0.7500
0.0000 0.0000 0.5000
0.0000 0.5000 0.5000
0.0000 0.5000 0.0000
```

DFT formation energy	-446	meV per atom
crystal system	tetragonal

(14)
Compound: Ca3SmCd8
Source: Alexandria via LeMat-Bulk
Functional: PBE
Structure: optimized geometry

```
Ca3SmCd8
1.0
6.0699 0.0000 0.0000
-3.0349 5.2567 0.0000
0.0000 0.0000 9.5632
Cd Ca Sm
8 3 1
direct
0.3333 0.6667 0.0017
0.5037 0.4963 0.7489
0.1622 0.3245 0.2513
0.5037 0.0075 0.7489
0.6755 0.8378 0.2513
0.9925 0.4963 0.7489
0.3333 0.6667 0.5006
0.1622 0.8378 0.2513
0.0000 0.0000 0.9367
0.6667 0.3333 0.4425
0.6667 0.3333 0.0599
0.0000 0.0000 0.5581
```

DFT formation energy	-313	meV per atom
crystal system	trigonal

(15)
Compound: PmZn2P2Pt7
Source: Alexandria via LeMat-Bulk
Functional: PBE
Structure: optimized geometry

```
PmZn2P2Pt7
1.0
-3.7252 -1.1584 -0.6359
0.9924 -1.2116 -3.6291
2.0555 -13.5169 3.4800
Pt P Pm Zn
7 2 1 2
direct
0.9397 0.4393 0.1654
0.3893 0.3893 0.4197
0.5000 0.5000 0.0000
0.0603 0.5607 0.8346
0.5607 0.0603 0.8346
0.6107 0.6107 0.5803
0.4393 0.9397 0.1654
0.5947 0.5947 0.7405
0.4053 0.4053 0.2595
0.0000 0.0000 0.0000
0.9002 0.9002 0.4169
0.0998 0.0998 0.5831
```

DFT formation energy	-552	meV per atom
crystal system	monoclinic

(16)
Compound: KLiPa2Te5
Source: Alexandria via LeMat-Bulk
Functional: PBE
Structure: optimized geometry

```
KLiPa2Te5
1.0
8.4336 0.0000 0.0000
0.0000 8.4336 0.0000
-4.2168 -4.2168 8.0726
Li Te Pa K
2 10 4 2
direct
0.2500 0.7500 0.5000
0.7500 0.2500 0.5000
0.2745 0.7745 0.2487
0.0000 0.0000 0.0000
0.7255 0.2255 0.7513
0.0258 0.5258 0.7513
0.2255 0.0258 0.7513
0.9742 0.4742 0.2487
0.7745 0.9742 0.2487
0.4742 0.2745 0.2487
0.5000 0.5000 0.0000
0.5258 0.7255 0.7513
0.1517 0.3483 0.0000
0.3483 0.8483 0.0000
0.6517 0.1517 0.0000
0.8483 0.6517 0.0000
0.2500 0.2500 0.5000
0.7500 0.7500 0.5000
```

crystal system	tetragonal
uncorrected formation energy	-0.942	eV/atom

(17)
Compound: ZrZnFe
Source: Alexandria via LeMat-Bulk
Functional: PBE
Structure: optimized geometry

```
ZrZnFe
1.0
4.2166 0.0000 0.0000
2.1083 3.6517 0.0000
2.1083 1.2172 3.4428
Zn Fe Zr
1 1 1
direct
0.0000 0.0000 0.0000
0.7500 0.7500 0.7500
0.5000 0.5000 0.5000
```

DFT formation energy	205	meV per atom
crystal system	cubic

(18)
Compound: BaNa2Bi2
Source: Alexandria via LeMat-Bulk
Functional: PBE
Structure: optimized geometry

```
BaNa2Bi2
1.0
5.0649 0.0000 0.0000
0.0000 5.0649 0.0000
2.5324 2.5324 7.0574
Na Bi Ba
2 2 1
direct
0.7500 0.2500 0.5000
0.2500 0.7500 0.5000
0.3917 0.3917 0.2165
0.6083 0.6083 0.7835
0.0000 0.0000 0.0000
```

DFT formation energy	-533	meV per atom
crystal system	tetragonal
polymorph energy (0 for the lowest one)	0.000	eV per atom

(19)
Compound: Ca2Ga4Ag3Sn
Source: Alexandria via LeMat-Bulk
Functional: PBE
Structure: optimized geometry

```
Ca2Ga4Ag3Sn
1.0
-3.1473 3.0003 0.2854
-2.9897 -3.1602 0.2530
1.0086 -0.0345 11.4852
Sn Ag Ca Ga
1 3 2 4
direct
0.5000 0.5000 0.5000
0.0000 0.0000 0.5000
0.0000 0.5000 0.1327
0.5000 0.0000 0.8673
0.0000 0.5000 0.7591
0.5000 0.0000 0.2409
0.0000 0.0000 0.0000
0.0000 0.5000 0.3516
0.5000 0.0000 0.6484
0.5000 0.5000 0.0000
```

DFT formation energy	-290	meV per atom
crystal system	tetragonal

(20)
Compound: Pm3PrHo5
Source: Alexandria via LeMat-Bulk
Functional: PBE
Structure: optimized geometry

```
Pm3PrHo5
1.0
-5.2942 -0.9384 -2.7399
7.2540 -3.5659 -6.1497
-2.9042 -7.4950 8.1788
Ho Pr Pm
10 2 6
direct
0.4207 0.0000 0.7500
0.5805 0.6783 0.3053
0.9188 0.3424 0.5305
0.0812 0.6576 0.4695
0.9022 0.3217 0.1947
0.5764 0.6576 0.9695
0.4236 0.3424 0.0305
0.4195 0.3217 0.6947
0.5793 0.0000 0.2500
0.0978 0.6783 0.8053
0.0856 0.0000 0.2500
0.9144 0.0000 0.7500
0.0000 0.0000 0.0000
0.0524 0.6389 0.1379
0.4136 0.3611 0.3621
0.9476 0.3611 0.8621
0.0000 0.0000 0.5000
0.5864 0.6389 0.6379
```

DFT formation energy	320	meV per atom
crystal system	monoclinic
polymorph energy (0 for the lowest one)	0.068	eV per atom

(21)
Compound: YZrTe
Source: Alexandria via LeMat-Bulk
Functional: PBE
Structure: optimized geometry

```
YZrTe
1.0
-0.2359 1.8247 -3.3049
-3.0688 -1.6491 1.4731
-1.5026 5.7066 3.2580
Y Zr Te
1 1 1
direct
0.6667 0.3333 0.3200
0.3333 0.6667 0.6956
0.0000 0.0000 0.9843
```

crystal system	trigonal
uncorrected formation energy	-0.572	eV/atom
polymorph energy (0 for the lowest one)	0.050	eV per atom

(22)
Compound: ZrNi2Hg
Source: Alexandria via LeMat-Bulk
Functional: PBE
Structure: optimized geometry

```
ZrNi2Hg
1.0
-0.9987 3.0810 -0.2860
-2.9684 -1.0381 -0.8168
-1.6552 0.0196 5.9907
Zr Ni Hg
1 2 1
direct
0.0000 0.0000 0.4459
0.5000 0.5000 0.2281
0.0000 0.0000 0.0353
0.5000 0.5000 0.7908
```

DFT formation energy	-97	meV per atom
crystal system	tetragonal

(23)
Compound: K6Rb2Pd
Source: Alexandria via LeMat-Bulk
Functional: PBE
Structure: optimized geometry

```
K6Rb2Pd
1.0
-7.9501 -4.9344 1.2439
-2.9159 -6.0077 -6.6713
0.4082 -9.3096 1.5220
K Rb Pd
6 2 1
direct
0.7410 0.2586 0.7414
0.2586 0.2586 0.7407
0.7414 0.7414 0.2593
0.2590 0.7414 0.2586
0.2586 0.7410 0.7414
0.7414 0.2590 0.2586
0.7500 0.7500 0.7503
0.2500 0.2500 0.2497
0.5000 0.5000 0.5000
```

DFT formation energy	32	meV per atom
crystal system	monoclinic

(24)
Compound: K5IO6
Source: Alexandria via LeMat-Bulk
Functional: PBE
Structure: optimized geometry

```
K5IO6
1.0
6.3498 0.3302 0.0000
2.0582 6.2261 0.0000
1.0291 3.1131 5.5915
K O I
5 6 1
direct
0.5000 0.5000 0.0000
0.5000 0.1639 0.6721
0.5000 0.8361 0.3279
0.0000 0.6665 0.6669
0.0000 0.3335 0.3331
0.8071 0.3081 0.7544
0.8071 0.0624 0.2456
0.1832 0.1793 0.0000
0.1929 0.9376 0.7544
0.1929 0.6919 0.2456
0.8168 0.8207 0.0000
0.0000 0.0000 0.0000
```

crystal system	monoclinic
uncorrected formation energy	-1.230	eV/atom